VASP calculation (PBE-GGA) on a geometry-optimized MgTaP2N6 structure.

Lattice parameters (Å, degrees): 5.4031 6.7900 6.7900 81.64 73.34 73.34
With the nearest neighbours (Å) after each atom.
Fractional positions:
Ta: 0.7500 0.7376 0.2624  4 N 2.02-2.05
Ta: 0.2500 0.2624 0.7376  4 N 2.02-2.05
P: 0.1844 0.3731 0.2093  4 N 1.61-1.69
P: 0.6844 0.2093 0.3731  4 N 1.61-1.69
P: 0.3156 0.7907 0.6269  4 N 1.61-1.69
P: 0.8156 0.6269 0.7907  4 N 1.61-1.69
N: 0.6547 0.1632 0.6172  1 P 1.61
N: 0.6468 0.7030 0.6107  2 P 1.67-1.69
N: 0.3532 0.2970 0.3893  2 P 1.67-1.69
N: 0.8453 0.3828 0.8368  1 P 1.61
N: 0.1547 0.6172 0.1632  1 P 1.61
N: 0.8532 0.3893 0.2970  2 P 1.67-1.69
N: 0.1798 0.9815 0.7743  1 P 1.62
N: 0.3202 0.2257 0.0185  1 P 1.62
N: 0.3453 0.8368 0.3828  1 P 1.61
N: 0.6798 0.7743 0.9815  1 P 1.62
N: 0.8202 0.0185 0.2257  1 P 1.62
N: 0.1468 0.6107 0.7030  2 P 1.67-1.69
Mg: 0.2500 0.9028 0.0972  6 N 2.10-2.29
Mg: 0.7500 0.0972 0.9028  6 N 2.10-2.29

- DFT total energy (eV per cell) = -159.6
- formation energy without anion corrections (eV/atom) = -0.556
- N(E_F) (states/eV/cell) = 11.5

VASP calculation (PBE-GGA) on a geometry-optimized MgTcP2N6 structure.

Lattice parameters (Å, degrees): 4.8816 6.5816 6.5816 89.60 81.78 81.78
With the nearest neighbours (Å) after each atom.
Fractional positions:
N: 0.8472 0.0249 0.2274  1 P 1.63
N: 0.6129 0.1794 0.6026  1 P 1.65
N: 0.3880 0.5799 0.7188  2 P 1.67-1.68
N: 0.8880 0.7188 0.5799  2 P 1.67-1.68
N: 0.1129 0.6026 0.1794  1 P 1.65
N: 0.6528 0.7726 0.9751  1 P 1.63
N: 0.6120 0.4201 0.2812  2 P 1.67-1.68
N: 0.8871 0.3974 0.8206  1 P 1.65
N: 0.1120 0.2812 0.4201  2 P 1.67-1.68
N: 0.3871 0.8206 0.3974  1 P 1.65
N: 0.3472 0.2274 0.0249  1 P 1.63
N: 0.1528 0.9751 0.7726  1 P 1.63
Tc: 0.7500 0.7397 0.2603  4 N 1.88-2.00
Tc: 0.2500 0.2603 0.7397  4 N 1.88-2.00
P: 0.7004 0.6178 0.7766  4 N 1.63-1.68
P: 0.7996 0.2234 0.3822  4 N 1.63-1.68
P: 0.2004 0.7766 0.6178  4 N 1.63-1.68
P: 0.2996 0.3822 0.2234  4 N 1.63-1.68
Mg: 0.2500 0.9106 0.0894  6 N 2.08-2.27
Mg: 0.7500 0.0894 0.9106  6 N 2.08-2.27

- DFT total energy (eV per cell) = -150.0
- formation energy without anion corrections (eV/atom) = -0.227
- N(E_F) (states/eV/cell) = 3.6

VASP calculation (PBE-GGA) on a geometry-optimized MgTePN2 structure.

Lattice parameters (Å, degrees): 3.6625 3.6625 6.0608 90.00 90.00 90.00
With the nearest neighbours (Å) after each atom.
Fractional positions:
Te: 0.0000 0.0000 0.5000  4 Mg 2.59
Mg: 0.5000 0.5000 0.5000  4 Te 2.59
N: 0.0000 0.5000 0.0000  2 P 1.83
N: 0.5000 0.0000 0.0000  2 P 1.83
P: 0.0000 0.0000 0.0000  4 N 1.83

- DFT total energy (eV per cell) = -22.7
- formation energy without anion corrections (eV/atom) = 0.824
- polymorph energy (0 for the lowest one) (meV per atom) = 0.0
- N(E_F) (states/eV/cell) = 1.5

Q: formation energy without anion corrections of number 3 (MgTePN2)?
A: 0.824 eV/atom

Q: formation energy without anion corrections of number 2 (MgTcP2N6)?
A: -0.227 eV/atom

Q: What is the formula in the third record?
A: MgTePN2

Q: Look up the N(E_F) of the second one.
A: 3.6 states/eV/cell